The following is a DFT calculation (PBE+U) of a geometry-optimized Co3OF structure.

The space group is Pm-3m (No. 221) and the conventional cell measures 3.951, 3.951 and 3.951 Å, with angles of 90.00, 90.00 and 90.00 degrees. The asymmetric unit holds Co at (0.000, 0.000, 0.500), O at (0.000, 0.000, 0.000) and F at (0.500, 0.500, 0.500).

As for the excess energy over the best structure of this formula in the dataset: 0.00 eV/f.u.